Model w:
Entry from OQMD via LeMat-Bulk: crystalline PaTcAsO at its relaxed geometry (PBE).

Magnetic moment: 0.210 μB per atom
Mass density: 10300 kg/m³

Geometry as POSCAR:
```
PaTcAsO
1.0
-1.583 -2.321 3.052
1.379 -3.426 -1.890
6.787 0.557 3.943
Pa As O Tc
2 2 2 2
direct
0.250 0.250 0.159
0.750 0.750 0.841
0.750 0.750 0.330
0.250 0.250 0.670
0.250 0.750 0.000
0.750 0.250 0.000
0.750 0.250 0.500
0.250 0.750 0.500
```

---

Model x:
Entry from OQMD via LeMat-Bulk: crystalline PaTcAsO at its relaxed geometry (PBE).

Magnetic moment: 0.504 μB per atom
Mass density: 10006 kg/m³

Geometry as POSCAR:
```
PaTcAsO
1.0
-0.823 -3.950 -1.349
3.640 -1.352 1.739
-3.699 -1.479 6.590
As Pa O Tc
2 2 2 2
direct
0.000 0.500 0.757
0.500 0.000 0.243
0.000 0.000 0.500
0.500 0.500 0.500
0.000 0.000 0.000
0.500 0.500 0.000
0.500 0.000 0.918
0.000 0.500 0.082
```

---

Model y:
Entry from OQMD via LeMat-Bulk: crystalline PaTcAsO at its relaxed geometry (PBE).

Magnetic moment: 0.002 μB per atom
Mass density: 10989 kg/m³

Geometry as POSCAR:
```
PaTcAsO
1.0
4.200 0.000 0.000
0.000 4.200 0.000
0.000 0.000 7.196
Pa O As Tc
2 2 2 2
direct
0.750 0.250 0.500
0.250 0.750 0.500
0.250 0.750 0.000
0.750 0.250 0.000
0.250 0.250 0.794
0.750 0.750 0.206
0.250 0.250 0.144
0.750 0.750 0.856
```

---

Here is how they stack up, most stable first: model w, model y, model x.